1.
An optimized crystal structure of Ac2La2Zn, computed with PBE.

For the density of states at the Fermi level, the calculation gives 12.26 states/eV/cell. The value obtained for the formation energy is -0.0894 eV/atom. The magnetic moment comes out at 0.00 μB/cell. The value obtained for the total energy is -39.585 eV for the cell shown.

The structure belongs to space group I4/mmm (No. 139); the cell edges are 3.884, 3.884 and 23.924 Å and the angles 90.00°, 90.00° and 90.00°. The asymmetric unit holds Ac at (0.000, 0.000, 0.081), La at (0.000, 0.000, 0.302) and Zn at (0.000, 0.000, 0.500).

***

2.
An optimized crystal structure of Mn2InCuS, computed with PBE.

The value obtained for the uncorrected formation energy is 1.1211 eV per atom. For the density of states at the Fermi level, the calculation gives 2.18 states/eV/cell. The magnetic moment comes out at 8.25 μB/cell. The value obtained for the total energy is -23.696 eV for the cell shown.

The structure belongs to space group P4/mmm (No. 123); the cell edges are 5.106, 5.106 and 4.715 Å and the angles 90.00°, 90.00° and 90.00°. The asymmetric unit holds Mn at (0.000, 0.500, 0.000), In at (0.000, 0.000, 0.000), Cu at (0.000, 0.000, 0.500) and S at (0.500, 0.500, 0.500).

***

3.
An optimized crystal structure of BeNiMo2As, computed with PBE.

For the density of states at the Fermi level, the calculation gives 5.71 states/eV/cell. The value obtained for the formation energy is 0.5628 eV/atom. The magnetic moment comes out at 0.00 μB/cell. The value obtained for the total energy is -33.005 eV for the cell shown.

The structure belongs to space group P4/mmm (No. 123); the cell edges are 4.334, 4.334 and 3.738 Å and the angles 90.00°, 90.00° and 90.00°. The asymmetric unit holds Be at (0.000, 0.000, 0.000), Ni at (0.000, 0.000, 0.500), Mo at (0.000, 0.500, 0.000) and As at (0.500, 0.500, 0.500).

***

4.
An optimized crystal structure of Cs2NaZnF6, computed with PBE.

The value obtained for the uncorrected formation energy is -2.4073 eV per atom. For the density of states at the Fermi level, the calculation gives 19.03 states/eV/cell. The magnetic moment comes out at 4.31 μB/cell. The value obtained for the total energy is -158.403 eV for the cell shown.

The structure belongs to space group Fm-3m (No. 225); the cell edges are 8.864, 8.864 and 8.864 Å and the angles 90.00°, 90.00° and 90.00°. The asymmetric unit holds Cs at (0.250, 0.250, 0.250), Na at (0.000, 0.000, 0.000), Zn at (0.000, 0.000, 0.500) and F at (0.000, 0.000, 0.274).